Record 1
Here is a geometry-optimized LiFeCu2 structure from Alexandria. Energies are from PBE.

The value obtained for the calculated formation energy is 91 meV per atom. For the density of states at the Fermi level, the calculation gives 5.88 states/eV/cell. The uncorrected energy comes out at -0.1673 Ha/atom. Its spin magnetization is 0.64 μB per atom.

The structure belongs to space group C2/m (No. 12); the cell edges are 5.4389, 7.0628 and 2.5198 Å and the angles 90.00°, 90.23° and 90.00°. The distinct sites, in fractional coordinates, are Li at (0.0000, 0.0000, 0.0000), Fe at (0.0000, 0.5000, 0.0000) and Cu at (0.2500, 0.2500, 0.5000).


Record 2
Here is a geometry-optimized Na3Zr3NpSe8 structure from Alexandria. Energies are from PBE.

The value obtained for the formation energy without anion corrections is -1.286 eV per atom. For the density of states at the Fermi level, the calculation gives 39.47 states/eV/cell. The uncorrected energy comes out at -0.2198 Ha/atom. Its spin magnetization is 0.28 μB per atom.

The structure belongs to space group R-3m (No. 166, hexagonal axes); the cell edges are 7.7891, 7.7891 and 21.5099 Å and the angles 90.00°, 90.00° and 120.00°. The distinct sites, in fractional coordinates, are Na at (0.0000, 0.5000, 0.0000), Zr at (0.0000, 0.5000, 0.5000), Np at (0.0000, 0.0000, 0.5000), Se at (0.0000, 0.0000, 0.2419) and Se at (0.0150, 0.5075, 0.7576).